ErPaTlHg (PBE-GGA, relaxed); N(E_F) = 9.058 states/eV per cell; energy relative to the elements = 0.01 eV/atom; spin magnetization = 1.93 μB per cell; space group = F-43m; ρ = 12.6 g/cm³; V = 26.5 Å³/atom; electronic total energy = -4.17 eV per atom
1.0
-3.1002 -0.0525 4.3157
2.1862 -0.1857 4.8399
-0.2076 4.2567 3.1744
Tl Pa Hg Er
1 1 1 1
Direct
0.0000 0.0000 0.0000
0.7500 0.7500 0.7500
0.5000 0.5000 0.5000
0.2500 0.2500 0.2500